Record 1
The following is a PBE calculation of an optimized crystal structure of Ho2CdAg3, from Alexandria via LeMat-Bulk.

Calculated values
- Offset from the most stable computed form: 99 meV/atom
- Total magnetic moment: 0.000 μB per atom
- Formation enthalpy at 0 K: -167 meV per atom
- Fermi-level density of states: 6.20 states/eV/cell

abc: 3.920 3.983 18.553
angles: 90.00 90.00 90.00
Space group Imm2 (No. 44)
Symmetry-distinct sites (fractional):
Ho  0.000  0.000  0.000
Ho  0.000  0.500  0.229
Cd  0.000  0.000  0.408
Ag  0.000  0.000  0.561
Ag  0.000  0.500  0.658
Ag  0.000  0.500  0.805

---

Record 2
The following is a PBE calculation of an optimized crystal structure of Ho2Cd3Ag4, from Alexandria via LeMat-Bulk.

Calculated values
- Offset from the most stable computed form: 65 meV/atom
- Total magnetic moment: 0.000 μB per atom
- Formation enthalpy at 0 K: -168 meV per atom
- Fermi-level density of states: 18.85 states/eV/cell

abc: 5.850 17.122 8.006
angles: 90.00 90.00 90.00
Space group Cmce (No. 64)
Symmetry-distinct sites (fractional):
Ho  0.000  0.096  0.105
Cd  0.000  0.000  0.500
Cd  0.250  0.239  0.750
Ag  0.000  0.164  0.478
Ag  0.250  0.071  0.750

---

Record 3
The following is a PBE calculation of an optimized crystal structure of HoCdAg6, from Alexandria via LeMat-Bulk.

Calculated values
- Total magnetic moment: 0.000 μB per atom
- Formation enthalpy at 0 K: 23 meV per atom
- Fermi-level density of states: 3.85 states/eV/cell

abc: 8.436 5.818 7.358
angles: 90.00 105.60 90.00
Space group C2/m (No. 12)
Symmetry-distinct sites (fractional):
Ho  0.000  0.000  0.000
Cd  0.000  0.500  0.500
Ag  0.131  0.500  0.926
Ag  0.220  0.266  0.302

---

Record 4
The following is a PBE calculation of an optimized crystal structure of HoCd2Ag, from Alexandria via LeMat-Bulk.

Calculated values
- Total magnetic moment: 0.000 μB per atom
- Formation enthalpy at 0 K: -228 meV per atom
- Fermi-level density of states: 6.93 states/eV/cell

abc: 7.051 7.051 7.051
angles: 90.00 90.00 90.00
Space group Fm-3m (No. 225)
Symmetry-distinct sites (fractional):
Ho  0.000  0.000  0.000
Cd  0.250  0.250  0.250
Ag  0.000  0.000  0.500

---

Record 5
The following is a PBE calculation of an optimized crystal structure of HoCd3Ag7, from Alexandria via LeMat-Bulk.

Calculated values
- Total magnetic moment: 0.000 μB per atom
- Formation enthalpy at 0 K: 84 meV per atom
- Fermi-level density of states: 7.23 states/eV/cell

abc: 9.544 9.716 5.618
angles: 90.00 112.94 90.00
Space group C2/m (No. 12)
Symmetry-distinct sites (fractional):
Ho  0.000  0.000  0.000
Cd  0.000  0.286  0.500
Cd  0.000  0.500  0.000
Ag  0.000  0.000  0.500
Ag  0.186  0.265  0.189
Ag  0.212  0.500  0.537

---

Record 6
The following is a PBE calculation of an optimized crystal structure of Ho3Cd2Ag6, from Alexandria via LeMat-Bulk.

Calculated values
- Total magnetic moment: 0.000 μB per atom
- Formation enthalpy at 0 K: -88 meV per atom
- Fermi-level density of states: 14.30 states/eV/cell

abc: 3.927 3.927 32.848
angles: 90.00 90.00 90.00
Space group I4/mmm (No. 139)
Symmetry-distinct sites (fractional):
Ho  0.000  0.000  0.000
Ho  0.000  0.000  0.182
Cd  0.000  0.000  0.364
Ag  0.000  0.000  0.273
Ag  0.000  0.500  0.072

---

Record 7
The following is a PBE calculation of an optimized crystal structure of HoCd2Ag, from Alexandria via LeMat-Bulk.

Calculated values
- Total magnetic moment: 0.000 μB per atom
- Formation enthalpy at 0 K: -191 meV per atom
- Fermi-level density of states: 2.76 states/eV/cell

abc: 4.442 4.442 4.676
angles: 90.00 90.00 90.00
Space group P4/mmm (No. 123)
Symmetry-distinct sites (fractional):
Ho  0.000  0.000  0.000
Cd  0.000  0.500  0.500
Ag  0.500  0.500  0.000

---

Record 8
The following is a PBE calculation of an optimized crystal structure of HoCd5Ag8, from Alexandria via LeMat-Bulk.

Calculated values
- Total magnetic moment: 0.000 μB per atom
- Formation enthalpy at 0 K: -6 meV per atom
- Fermi-level density of states: 9.76 states/eV/cell

abc: 8.160 8.160 8.815
angles: 90.00 90.00 90.00
Space group I-4 (No. 82)
Symmetry-distinct sites (fractional):
Ho  0.000  0.000  0.000
Cd  0.000  0.500  0.750
Cd  0.145  0.283  0.329
Ag  0.071  0.161  0.645
Ag  0.100  0.350  0.015

---

Record 9
The following is a PBE calculation of an optimized crystal structure of HoCd6Ag2, from Alexandria via LeMat-Bulk.

Calculated values
- Offset from the most stable computed form: 0 meV/atom
- Total magnetic moment: 0.000 μB per atom
- Formation enthalpy at 0 K: -94 meV per atom
- Fermi-level density of states: 15.67 states/eV/cell

abc: 15.362 11.023 4.827
angles: 90.00 90.00 90.00
Space group Cmcm (No. 63)
Symmetry-distinct sites (fractional):
Ho  0.000  0.209  0.250
Cd  0.093  0.355  0.750
Cd  0.104  0.075  0.750
Cd  0.211  0.164  0.250
Ag  0.186  0.421  0.250

---

Record 10
The following is a PBE calculation of an optimized crystal structure of Ho5Cd4Ag, from Alexandria via LeMat-Bulk.

Calculated values
- Total magnetic moment: 0.000 μB per atom
- Formation enthalpy at 0 K: -317 meV per atom
- Fermi-level density of states: 9.72 states/eV/cell

abc: 3.702 3.702 18.572
angles: 90.00 90.00 90.00
Space group P4/mmm (No. 123)
Symmetry-distinct sites (fractional):
Ho  0.000  0.000  0.000
Ho  0.000  0.000  0.203
Ho  0.000  0.000  0.405
Cd  0.500  0.500  0.101
Cd  0.500  0.500  0.302
Ag  0.500  0.500  0.500

---

Record 11
The following is a PBE calculation of an optimized crystal structure of Ho3Cd2Ag4, from Alexandria via LeMat-Bulk.

Calculated values
- Offset from the most stable computed form: 0 meV/atom
- Total magnetic moment: 0.000 μB per atom
- Formation enthalpy at 0 K: -276 meV per atom
- Fermi-level density of states: 11.45 states/eV/cell

abc: 10.812 4.817 9.033
angles: 90.00 120.35 90.00
Space group C2/m (No. 12)
Symmetry-distinct sites (fractional):
Ho  0.000  0.000  0.000
Ho  0.159  0.500  0.678
Cd  0.127  0.500  0.293
Ag  0.060  0.000  0.394
Ag  0.225  0.500  0.059

---

Record 12
The following is a PBE calculation of an optimized crystal structure of HoCd5Ag, from Alexandria via LeMat-Bulk.

Calculated values
- Total magnetic moment: 0.000 μB per atom
- Formation enthalpy at 0 K: -163 meV per atom
- Fermi-level density of states: 3.27 states/eV/cell

abc: 4.810 4.810 7.169
angles: 90.00 90.00 90.00
Space group P4/mmm (No. 123)
Symmetry-distinct sites (fractional):
Ho  0.000  0.000  0.000
Cd  0.000  0.500  0.286
Cd  0.500  0.500  0.000
Ag  0.000  0.000  0.500

---

Record 13
The following is a PBE calculation of an optimized crystal structure of Ho4CdAg, from Alexandria via LeMat-Bulk.

Calculated values
- Offset from the most stable computed form: 139 meV/atom
- Total magnetic moment: 0.000 μB per atom
- Formation enthalpy at 0 K: -44 meV per atom
- Fermi-level density of states: 10.99 states/eV/cell

abc: 6.160 9.213 6.096
angles: 90.00 108.49 90.00
Space group P2_1/c (No. 14)
Symmetry-distinct sites (fractional):
Ho  0.097  0.164  0.104
Ho  0.394  0.660  0.911
Cd  0.500  0.000  0.000
Ag  0.000  0.000  0.500

---

Record 14
The following is a PBE calculation of an optimized crystal structure of HoCd2Ag6, from Alexandria via LeMat-Bulk.

Calculated values
- Offset from the most stable computed form: 0 meV/atom
- Total magnetic moment: 0.000 μB per atom
- Formation enthalpy at 0 K: -68 meV per atom
- Fermi-level density of states: 14.93 states/eV/cell

abc: 11.191 10.092 7.631
angles: 90.00 123.08 90.00
Space group C2/c (No. 15)
Symmetry-distinct sites (fractional):
Ho  0.000  0.091  0.250
Cd  0.155  0.373  0.423
Ag  0.074  0.366  0.987
Ag  0.124  0.161  0.706
Ag  0.211  0.098  0.125

---

Record 15
The following is a PBE calculation of an optimized crystal structure of HoCdAg4, from Alexandria via LeMat-Bulk.

Calculated values
- Total magnetic moment: 0.000 μB per atom
- Formation enthalpy at 0 K: -175 meV per atom
- Fermi-level density of states: 28.28 states/eV/cell

abc: 7.875 7.875 7.875
angles: 90.00 90.00 90.00
Space group F-43m (No. 216)
Symmetry-distinct sites (fractional):
Ho  0.000  0.000  0.000
Cd  0.250  0.250  0.250
Ag  0.125  0.125  0.625

---

Record 16
The following is a PBE calculation of an optimized crystal structure of Ho2Cd4Ag, from Alexandria via LeMat-Bulk.

Calculated values
- Total magnetic moment: 0.000 μB per atom
- Formation enthalpy at 0 K: -244 meV per atom
- Fermi-level density of states: 7.59 states/eV/cell

abc: 8.417 4.877 8.569
angles: 90.00 109.62 90.00
Space group C2/m (No. 12)
Symmetry-distinct sites (fractional):
Ho  0.072  0.000  0.214
Cd  0.175  0.500  0.024
Cd  0.200  0.000  0.601
Ag  0.000  0.500  0.500

---

Record 17
The following is a PBE calculation of an optimized crystal structure of Ho6Cd2Ag, from Alexandria via LeMat-Bulk.

Calculated values
- Total magnetic moment: 0.000 μB per atom
- Formation enthalpy at 0 K: -77 meV per atom
- Fermi-level density of states: 23.14 states/eV/cell

abc: 6.200 9.261 10.098
angles: 90.00 118.40 90.00
Space group P2_1/c (No. 14)
Symmetry-distinct sites (fractional):
Ho  0.058  0.171  0.461
Ho  0.361  0.684  0.442
Ho  0.420  0.034  0.304
Cd  0.138  0.106  0.767
Ag  0.000  0.000  0.000

---

Record 18
The following is a PBE calculation of an optimized crystal structure of Ho2Cd12Ag, from Alexandria via LeMat-Bulk.

Calculated values
- Total magnetic moment: 0.000 μB per atom
- Formation enthalpy at 0 K: -47 meV per atom
- Fermi-level density of states: 15.91 states/eV/cell

abc: 6.161 6.161 19.137
angles: 90.00 90.00 90.00
Space group P4/nbm (No. 125, origin choice 2)
Symmetry-distinct sites (fractional):
Ho  0.250  0.750  0.244
Cd  0.000  0.000  0.406
Cd  0.080  0.580  0.068
Cd  0.250  0.250  0.163
Cd  0.250  0.250  0.305
Ag  0.250  0.750  0.500

---

Record 19
The following is a PBE calculation of an optimized crystal structure of Ho2Cd2Ag3, from Alexandria via LeMat-Bulk.

Calculated values
- Total magnetic moment: 0.000 μB per atom
- Formation enthalpy at 0 K: -127 meV per atom
- Fermi-level density of states: 7.84 states/eV/cell

abc: 10.278 3.959 8.969
angles: 90.00 114.85 90.00
Space group C2/m (No. 12)
Symmetry-distinct sites (fractional):
Ho  0.214  0.000  0.300
Cd  0.146  0.000  0.882
Ag  0.000  0.500  0.000
Ag  0.032  0.500  0.363

---

Record 20
The following is a PBE calculation of an optimized crystal structure of HoCd8Ag6, from Alexandria via LeMat-Bulk.

Calculated values
- Total magnetic moment: 0.000 μB per atom
- Formation enthalpy at 0 K: -39 meV per atom
- Fermi-level density of states: 13.99 states/eV/cell

abc: 8.1580 8.1580 17.2034
angles: 90.00 90.00 120.00
Space group R-3 (No. 148, hexagonal axes)
Symmetry-distinct sites (fractional):
Ho  0.0000  0.0000  0.0000
Cd  0.0000  0.0000  0.2700
Cd  0.0108  0.3192  0.1262
Ag  0.9997  0.2962  0.6244

---

Record 21
The following is a PBE calculation of an optimized crystal structure of Ho8Cd2Ag, from Alexandria via LeMat-Bulk.

Calculated values
- Total magnetic moment: 0.000 μB per atom
- Formation enthalpy at 0 K: -109 meV per atom
- Fermi-level density of states: 22.49 states/eV/cell

abc: 17.831 5.231 6.981
angles: 90.00 107.12 90.00
Space group C2/m (No. 12)
Symmetry-distinct sites (fractional):
Ho  0.023  0.000  0.270
Ho  0.092  0.500  0.953
Ho  0.161  0.500  0.461
Ho  0.196  0.000  0.795
Cd  0.186  0.000  0.215
Ag  0.000  0.500  0.500